# KBa2CeTe4 PBE-GGA optimized geometry
data_KBa2CeTe4
_chemical_formula_sum 'K1 Ba2 Ce1 Te4'
_cell_length_a 8.345
_cell_length_b 4.874
_cell_length_c 8.497
_cell_angle_alpha 90.00
_cell_angle_beta 108.80
_cell_angle_gamma 90.00
_symmetry_space_group_name_H-M 'P 1 2/m 1'
_symmetry_Int_Tables_number 10
loop_
_symmetry_equiv_pos_as_xyz
'x,y,z'
'-x,-y,-z'
'-x,y,-z'
'x,-y,z'
loop_
_atom_site_label
_atom_site_type_symbol
_atom_site_fract_x
_atom_site_fract_y
_atom_site_fract_z
_atom_site_occupancy
K1 K 0.000 0.000 0.000 1
Ba1 Ba 0.500 0.000 0.500 1
Ba2 Ba 0.500 0.500 0.000 1
Ce1 Ce 0.000 0.500 0.500 1
Te1 Te 0.229 0.000 0.730 1
Te2 Te 0.237 0.500 0.267 1
# - Volume: 40.89 A^3/atom
# - E_form (uncorrected): -1.509 eV per atom
# - Size of the total moment: 1.00 μB per formula unit